# 1
Below is crystalline Ta2PIr at its relaxed geometry, with properties calculated at the PBE-GGA level.

a = 5.7603 Å, b = 7.3265 Å, c = 3.0611 Å
α = 90.00°, β = 98.87°, γ = 90.00°
Closest atoms and distances in Å follow each position.
Space group C2/m (No. 12)
One atom of each set of equivalent atoms:
Ta 0.2500 0.2500 0.0000 [4 per cell]  4 Ir 2.66-2.91, 4 P 2.66-2.91, 2 Ta 2.88
P 0.0000 0.0000 0.5000 [2 per cell]  8 Ta 2.66-2.91, 2 Ir 2.88
Ir 0.0000 0.5000 0.5000 [2 per cell]  8 Ta 2.66-2.91, 2 P 2.88

N(E_F) in states/eV/cell: 5.23
ΔH_f (0 K) in meV per atom: -342.0
VASP energy in Ry per atom: -0.723

# 2
Below is crystalline UTc2B2 at its relaxed geometry, with properties calculated at the PBE-GGA level.

a = 4.3146 Å, b = 3.1022 Å, c = 9.8020 Å
α = 90.00°, β = 95.82°, γ = 90.00°
Closest atoms and distances in Å follow each position.
Space group P2_1/m (No. 11)
One atom of each set of equivalent atoms:
U 0.1971 0.2500 0.2446 [2 per cell]  7 B 2.71-2.86, 4 Tc 2.83-2.97
Tc 0.2463 0.7500 0.4868 [2 per cell]  2 B 2.24
Tc 0.3511 0.2500 0.9013 [2 per cell]  5 B 2.21-2.42
B 0.1203 0.7500 0.0167 [2 per cell]  2 B 1.88
B 0.2840 0.2500 0.6527 [2 per cell]  3 Tc 2.24-2.42

N(E_F) in states/eV/cell: 10.04
ΔH_f (0 K) in meV per atom: -271.2
VASP energy in Ry per atom: -0.687

# 3
Below is crystalline Er5Tm2Sc2 at its relaxed geometry, with properties calculated at the PBE-GGA level.

a = 14.6324 Å, b = 4.8586 Å, c = 7.7340 Å
α = 90.00°, β = 108.41°, γ = 90.00°
Closest atoms and distances in Å follow each position.
Space group C2/m (No. 12)
One atom of each set of equivalent atoms:
Er 0.0000 0.0000 0.0000 [2 per cell]  6 Er 3.43-3.45, 2 Tm 3.44, 4 Sc 3.47
Er 0.1656 0.5000 0.0012 [4 per cell]  7 Er 3.43-3.50, 2 Sc 3.46-3.47, 3 Tm 3.46-3.50
Er 0.2211 0.0000 0.3353 [4 per cell]  6 Er 3.43-3.50, 3 Sc 3.44-3.45, 3 Tm 3.44-3.48
Tm 0.1082 0.0000 0.6646 [4 per cell]  1 Tm 3.38, 4 Sc 3.41-3.42, 7 Er 3.44-3.50
Sc 0.0552 0.5000 0.3373 [4 per cell]  1 Sc 3.39, 4 Tm 3.41-3.42, 7 Er 3.44-3.47

N(E_F) in states/eV/cell: 26.76
ΔH_f (0 K) in meV per atom: 40.8
VASP energy in Ry per atom: -0.360
Relative energy among the computed polymorphs in meV/atom: 0

# 4
Below is crystalline UTi2Fe at its relaxed geometry, with properties calculated at the PBE-GGA level.

a = 2.8507 Å, b = 2.8507 Å, c = 27.6981 Å
α = 90.00°, β = 90.00°, γ = 120.00°
Closest atoms and distances in Å follow each position.
Space group R-3m (No. 166, hexagonal axes)
One atom of each set of equivalent atoms:
U 0.0000 0.0000 0.0000 [3 per cell]  2 Ti 2.73, 6 U 2.85
Ti 0.0000 0.0000 0.0986 [6 per cell]  3 Fe 2.50, 1 U 2.73
Fe 0.0000 0.0000 0.5000 [3 per cell]  6 Ti 2.50

N(E_F) in states/eV/cell: 16.56
ΔH_f (0 K) in meV per atom: 204.5
VASP energy in Ry per atom: -0.638
Relative energy among the computed polymorphs in meV/atom: 268

# 5
Below is crystalline KLi2La at its relaxed geometry, with properties calculated at the PBE-GGA level.

a = 3.4887 Å, b = 6.1367 Å, c = 12.7682 Å
α = 90.00°, β = 90.00°, γ = 90.00°
Closest atoms and distances in Å follow each position.
Space group Imm2 (No. 44)
One atom of each set of equivalent atoms:
K 0.0000 0.0000 0.0000 [2 per cell]  2 K 3.49, 6 Li 3.61-3.69
Li 0.0000 0.0000 0.5588 [2 per cell]  2 Li 2.95
Li 0.0000 0.5000 0.2451 [2 per cell]  2 Li 2.95
La 0.0000 0.5000 0.7978 [2 per cell]  2 La 3.49, 6 Li 3.59-3.76

N(E_F) in states/eV/cell: 7.81
ΔH_f (0 K) in meV per atom: 276.2
VASP energy in Ry per atom: -0.161

# 6
Below is crystalline K2Na7Tl12 at its relaxed geometry, with properties calculated at the PBE-GGA level.

a = 14.5219 Å, b = 14.5219 Å, c = 3.5281 Å
α = 90.00°, β = 90.00°, γ = 120.00°
Closest atoms and distances in Å follow each position.
Space group P-3 (No. 147)
One atom of each set of equivalent atoms:
K 0.3333 0.6667 0.2420 [2 per cell]  2 K 3.53, 6 Tl 3.58-3.73, 3 Na 3.64
Na 0.0000 0.0000 0.5000 [1 per cell]  2 Na 3.53, 12 Tl 3.64-3.68
Na 0.1290 0.7279 0.5314 [6 per cell]  7 Tl 3.30-3.50, 2 Na 3.53, 1 K 3.64
Tl 0.0492 0.2412 0.9901 [6 per cell]  5 Tl 3.21-3.53, 4 Na 3.30-3.46
Tl 0.0900 0.4813 0.7883 [6 per cell]  5 Tl 3.28-3.56, 3 Na 3.31-3.50, 1 K 3.58

N(E_F) in states/eV/cell: 8.01
ΔH_f (0 K) in meV per atom: -74.0
VASP energy in Ry per atom: -0.145

# 7
Below is crystalline Zn7Si5 at its relaxed geometry, with properties calculated at the PBE-GGA level.

a = 7.3899 Å, b = 7.3899 Å, c = 7.4093 Å
α = 90.00°, β = 90.00°, γ = 90.00°
Closest atoms and distances in Å follow each position.
Space group I4mm (No. 107)
One atom of each set of equivalent atoms:
Zn 0.0000 0.0000 0.0000 [2 per cell]  1 Si 2.37
Zn 0.0000 0.2595 0.2527 [8 per cell]  5 Zn 2.56-2.71, 4 Si 2.65-2.66
Zn 0.0000 0.5000 0.0046 [4 per cell]  4 Zn 2.56-2.58, 4 Si 2.65
Si 0.0000 0.0000 0.6801 [2 per cell]  1 Zn 2.37, 4 Si 2.47
Si 0.2135 0.2135 0.5362 [8 per cell]  1 Si 2.47, 6 Zn 2.65-2.66

N(E_F) in states/eV/cell: 8.73
Uncorrected formation energy in eV per atom: 0.241
VASP energy in Ry per atom: -0.203

# 8
Below is crystalline BaSnBi at its relaxed geometry, with properties calculated at the PBE-GGA level.

a = 10.9664 Å, b = 9.2414 Å, c = 5.2758 Å
α = 90.00°, β = 118.53°, γ = 90.00°
Closest atoms and distances in Å follow each position.
Space group C2/m (No. 12)
One atom of each set of equivalent atoms:
Ba 0.2471 0.0000 0.2474 [4 per cell]  6 Sn 3.87-3.96, 6 Bi 3.89-3.90
Sn 0.0000 0.3419 0.0000 [4 per cell]  1 Sn 2.92, 2 Bi 3.07
Bi 0.0000 0.1725 0.5000 [4 per cell]  2 Sn 3.07, 1 Bi 3.19

N(E_F) in states/eV/cell: 5.39
ΔH_f (0 K) in meV per atom: -581.8
VASP energy in Ry per atom: -0.283
Relative energy among the computed polymorphs in meV/atom: 4

# 9
Below is crystalline MnAl2Au3 at its relaxed geometry, with properties calculated at the PBE-GGA level.

a = 4.4174 Å, b = 6.6864 Å, c = 7.0432 Å
α = 90.00°, β = 108.20°, γ = 90.00°
Closest atoms and distances in Å follow each position.
Space group P2/m (No. 10)
One atom of each set of equivalent atoms:
Mn 0.1707 0.0000 0.3410 [2 per cell]  8 Au 2.80-2.82, 2 Mn 3.07
Al 0.1631 0.5000 0.3269 [2 per cell]  8 Au 2.72-2.79
Al 0.5000 0.0000 0.0000 [1 per cell]  8 Au 2.74-2.82
Al 0.5000 0.5000 0.0000 [1 per cell]  8 Au 2.73-2.80
Au 0.0000 0.2437 0.0000 [2 per cell]  6 Al 2.74-2.80, 2 Mn 2.80
Au 0.3348 0.2620 0.6693 [4 per cell]  5 Al 2.72-2.82, 3 Mn 2.81-2.82

N(E_F) in states/eV/cell: 4.37
ΔH_f (0 K) in meV per atom: -240.5
VASP energy in Ry per atom: -0.342

# 10
Below is crystalline ScRe2 at its relaxed geometry, with properties calculated at the PBE-GGA level.

a = 10.1105 Å, b = 2.9816 Å, c = 7.1232 Å
α = 90.00°, β = 106.61°, γ = 90.00°
Closest atoms and distances in Å follow each position.
Space group C2/m (No. 12)
One atom of each set of equivalent atoms:
Sc 0.0063 0.0000 0.2201 [4 per cell]  7 Re 2.71-3.04, 2 Sc 2.98
Re 0.1571 0.5000 0.5482 [4 per cell]  4 Re 2.64-2.65, 2 Sc 2.82
Re 0.2273 0.5000 0.1413 [4 per cell]  4 Re 2.65, 3 Sc 2.71-2.87

N(E_F) in states/eV/cell: 8.90
ΔH_f (0 K) in meV per atom: -1.0
VASP energy in Ry per atom: -0.765

# 11
Below is crystalline MgPa2Pt3 at its relaxed geometry, with properties calculated at the PBE-GGA level.

a = 4.6654 Å, b = 7.0873 Å, c = 14.4038 Å
α = 90.00°, β = 90.00°, γ = 90.00°
Closest atoms and distances in Å follow each position.
Space group Imma (No. 74)
One atom of each set of equivalent atoms:
Mg 0.0000 0.2500 0.1692 [4 per cell]  8 Pt 2.82-3.01
Pa 0.0000 0.2500 0.5144 [4 per cell]  8 Pt 2.92-3.02
Pa 0.0000 0.2500 0.8195 [4 per cell]  8 Pt 2.98-3.15, 2 Pa 3.07
Pt 0.0000 0.0000 0.0000 [4 per cell]  6 Pa 2.94-3.15, 2 Mg 3.01
Pt 0.0000 0.0272 0.3360 [8 per cell]  3 Mg 2.82-2.88, 5 Pa 2.92-3.06

N(E_F) in states/eV/cell: 21.39
ΔH_f (0 K) in meV per atom: -847.4
VASP energy in Ry per atom: -0.536

# 12
Below is crystalline Cs2InAuC at its relaxed geometry, with properties calculated at the PBE-GGA level.

a = 6.8902 Å, b = 6.8902 Å, c = 4.0510 Å
α = 90.00°, β = 90.00°, γ = 90.00°
Closest atoms and distances in Å follow each position.
Space group P4/mmm (No. 123)
One atom of each set of equivalent atoms:
Cs 0.0000 0.5000 0.0000 [2 per cell]  2 C 3.45
In 0.0000 0.0000 0.5000 [1 per cell]  2 C 2.03
Au 0.5000 0.5000 0.5000 [1 per cell]  8 Cs 4.00, 2 Au 4.05
C 0.0000 0.0000 0.0000 [1 per cell]  2 In 2.03

N(E_F) in states/eV/cell: 0.97
ΔH_f (0 K) in meV per atom: 542.6
VASP energy in Ry per atom: -0.209